(1)
Sm4Pa: relaxed, GGA-PBE.

Structure (extended XYZ):
```
5
Lattice="5.712 0.000 0.000 0.000 5.712 0.000 0.000 0.000 5.712" Properties=species:S:1:pos:R:3 pbc="T T T"
Sm 0.000 0.000 0.000
Sm 0.000 2.856 2.856
Sm 2.856 0.000 2.856
Sm 2.856 2.856 0.000
Pa 2.856 2.856 2.856
```

**DFT formation energy**: 0.736 eV/atom
**Density**: 7.4 g cm⁻³
**E**: -4.938 eV/atom
**Calculated volume**: 37.3 Å³ per atom

(2)
Sm2Pa: relaxed, GGA-PBE.

Structure (extended XYZ):
```
3
Lattice="-1.704 1.704 7.849 1.704 -1.704 7.849 1.704 1.704 -7.849" Properties=species:S:1:pos:R:3 pbc="T T T"
Sm 0.000 0.000 2.415
Sm 0.000 0.000 13.282
Pa 0.000 0.000 7.849
```

**DFT formation energy**: 0.174 eV/atom
**Density**: 9.7 g cm⁻³
**E**: -6.137 eV/atom
**Calculated volume**: 30.4 Å³ per atom